(1)
Computed, not measured: SiRuI2N after structural relaxation at the PBE level of DFT.

Properties
E: -21.918 eV for the cell shown
V: 21.4 Å³/atom
SG: No. 123
Energy above the most stable polymorph in this dataset: 0.90 eV/f.u.
Uncorrected formation energy: 0.84 eV/atom
DOS(E_F): 0.602 states/eV/atom
Total magnetic moment: 2.63 μB/f.u.

Lattice parameters (Å, degrees): 5.686 5.686 3.304 90.00 90.00 90.00
Fractional positions:
Si 0.000 0.000 0.000
Ru 0.500 0.500 0.500
I 0.000 0.500 0.000
I 0.500 0.000 0.000
N 0.000 0.000 0.500



(2)
Computed, not measured: Ba3PrRu2O9 after structural relaxation at the PBE level of DFT.

Properties
E: -105.529 eV for the cell shown
V: 15.2 Å³/atom
SG: No. 164
Energy above the most stable polymorph in this dataset: 0.28 eV/f.u.
Uncorrected formation energy: -2.12 eV/atom
DOS(E_F): 0.359 states/eV/atom
Total magnetic moment: 5.09 μB/f.u.

Lattice parameters (Å, degrees): 5.946 5.946 7.446 90.00 90.00 120.00
Fractional positions:
Ba 0.000 0.000 0.000
Ba 0.333 0.667 0.693
Ba 0.667 0.333 0.307
Pr 0.000 0.000 0.500
Ru 0.333 0.667 0.158
Ru 0.667 0.333 0.842
O 0.000 0.500 0.000
O 0.179 0.358 0.309
O 0.179 0.821 0.309
O 0.358 0.179 0.691
O 0.500 0.000 0.000
O 0.500 0.500 0.000
O 0.642 0.821 0.309
O 0.821 0.179 0.691
O 0.821 0.642 0.691



(3)
Computed, not measured: La2Pr5Tm4 after structural relaxation at the PBE level of DFT.

Properties
E: -49.984 eV for the cell shown
V: 35.5 Å³/atom
SG: No. 71
Formation energy: 0.150 eV per atom
Energy above the most stable polymorph in this dataset: 0.16 eV/f.u.
DOS(E_F): 1.421 states/eV/atom
Total magnetic moment: 0.00 μB/f.u.

Lattice parameters (Å, degrees): 12.871 12.871 12.871 164.12 137.88 45.29
Fractional positions:
La 0.233 0.233 0.000
La 0.767 0.767 0.000
Pr 0.162 0.359 0.803
Pr 0.444 0.641 0.803
Pr 0.500 0.000 0.500
Pr 0.556 0.359 0.197
Pr 0.838 0.641 0.197
Tm 0.096 0.096 0.000
Tm 0.181 0.500 0.681
Tm 0.819 0.500 0.319
Tm 0.904 0.904 0.000



(4)
Computed, not measured: PuTiPb2 after structural relaxation at the PBE level of DFT.

Properties
E: -29.515 eV for the cell shown
V: 24.8 Å³/atom
SG: No. 123
Formation energy: 0.032 eV per atom
Energy above the most stable polymorph in this dataset: 0.00 eV/f.u.
DOS(E_F): 2.438 states/eV/atom
Total magnetic moment: 6.88 μB/f.u.

Lattice parameters (Å, degrees): 3.778 3.778 6.962 90.00 90.00 90.00
Fractional positions:
Pu 0.000 0.000 0.000
Ti 0.000 0.000 0.500
Pb 0.500 0.500 0.280
Pb 0.500 0.500 0.720



(5)
Computed, not measured: LiIr3Se after structural relaxation at the PBE level of DFT.

Properties
E: -27.045 eV for the cell shown
V: 19.4 Å³/atom
SG: No. 221
Energy above the most stable polymorph in this dataset: 0.00 eV/f.u.
Uncorrected formation energy: 0.99 eV/atom
DOS(E_F): 0.886 states/eV/atom
Total magnetic moment: 0.00 μB/f.u.

Lattice parameters (Å, degrees): 4.594 4.594 4.594 90.00 90.00 90.00
Fractional positions:
Li 0.000 0.000 0.000
Ir 0.000 0.500 0.500
Ir 0.500 0.000 0.500
Ir 0.500 0.500 0.000
Se 0.500 0.500 0.500



(6)
Computed, not measured: MgCdPd after structural relaxation at the PBE level of DFT.

Properties
E: -17.406 eV for the cell shown
V: 21.6 Å³/atom
SG: No. 166
Formation energy: -0.333 eV per atom
Energy above the most stable polymorph in this dataset: 0.38 eV/f.u.
DOS(E_F): 0.307 states/eV/atom
Total magnetic moment: 0.00 μB/f.u.

Lattice parameters (Å, degrees): 7.946 7.946 7.946 32.59 32.59 32.59
Fractional positions:
Mg 0.123 0.123 0.123
Mg 0.877 0.877 0.877
Cd 0.377 0.377 0.377
Cd 0.623 0.623 0.623
Pd 0.000 0.000 0.000
Pd 0.500 0.500 0.500



(7)
Computed, not measured: Ca2SiSn2 after structural relaxation at the PBE level of DFT.

Properties
E: -38.275 eV for the cell shown
V: 27.1 Å³/atom
SG: No. 127
Uncorrected formation energy: -0.34 eV/atom
DOS(E_F): 0.455 states/eV/atom
Total magnetic moment: 0.00 μB/f.u.

Lattice parameters (Å, degrees): 7.527 7.527 4.777 90.00 90.00 90.00
Fractional positions:
Ca 0.170 0.330 0.000
Ca 0.330 0.830 0.000
Ca 0.670 0.170 0.000
Ca 0.830 0.670 0.000
Si 0.000 0.000 0.500
Si 0.500 0.500 0.500
Sn 0.138 0.638 0.500
Sn 0.362 0.138 0.500
Sn 0.638 0.862 0.500
Sn 0.862 0.362 0.500



(8)
Computed, not measured: Sr2SeN after structural relaxation at the PBE level of DFT.

Properties
E: -17.590 eV for the cell shown
V: 23.1 Å³/atom
SG: No. 225
Energy above the most stable polymorph in this dataset: 1.18 eV/f.u.
Uncorrected formation energy: -0.60 eV/atom
DOS(E_F): 1.263 states/eV/atom
Total magnetic moment: 1.00 μB/f.u.

Lattice parameters (Å, degrees): 5.075 5.075 5.075 60.00 60.00 60.00
Fractional positions:
Sr 0.250 0.250 0.250
Sr 0.750 0.750 0.750
Se 0.000 0.000 0.000
N 0.500 0.500 0.500



(9)
Computed, not measured: Y3ErSc2S6 after structural relaxation at the PBE level of DFT.

Properties
E: -84.662 eV for the cell shown
V: 20.0 Å³/atom
SG: No. 12
Uncorrected formation energy: -1.94 eV/atom
DOS(E_F): 0.460 states/eV/atom
Total magnetic moment: 0.00 μB/f.u.

Lattice parameters (Å, degrees): 6.642 6.642 6.660 99.53 99.53 120.18
Fractional positions:
Y 0.000 0.000 0.000
Y 0.336 0.664 0.000
Y 0.664 0.336 0.000
Er 0.500 0.500 0.500
Sc 0.167 0.833 0.500
Sc 0.833 0.167 0.500
S 0.080 0.421 0.262
S 0.238 0.238 0.735
S 0.421 0.080 0.262
S 0.579 0.920 0.738
S 0.762 0.762 0.265
S 0.920 0.579 0.738



(10)
Computed, not measured: TlPb2O after structural relaxation at the PBE level of DFT.

Properties
E: -31.101 eV for the cell shown
V: 31.2 Å³/atom
SG: No. 122
Energy above the most stable polymorph in this dataset: 0.00 eV/f.u.
Uncorrected formation energy: -0.20 eV/atom
DOS(E_F): 0.387 states/eV/atom
Total magnetic moment: 0.00 μB/f.u.

Lattice parameters (Å, degrees): 8.072 8.072 8.072 136.08 136.08 63.86
Fractional positions:
Tl 0.000 0.000 0.000
Tl 0.750 0.250 0.500
Pb 0.252 0.625 0.127
Pb 0.375 0.502 0.627
Pb 0.498 0.125 0.873
Pb 0.875 0.748 0.373
O 0.250 0.750 0.500
O 0.500 0.500 0.000



(11)
Computed, not measured: KGaPb after structural relaxation at the PBE level of DFT.

Properties
E: -23.775 eV for the cell shown
V: 34.4 Å³/atom
SG: No. 44
Formation energy: -0.031 eV per atom
DOS(E_F): 0.591 states/eV/atom
Total magnetic moment: 0.00 μB/f.u.

Lattice parameters (Å, degrees): 9.224 9.224 9.224 149.66 61.30 128.11
Fractional positions:
K 0.000 0.000 0.000
K 0.549 0.193 0.356
K 0.837 0.193 0.644
Ga 0.325 0.649 0.677
Ga 0.553 0.553 0.000
Ga 0.972 0.649 0.323
Pb 0.204 0.366 0.838
Pb 0.318 0.818 0.500
Pb 0.528 0.366 0.162



(12)
Computed, not measured: K2ZrCo after structural relaxation at the PBE level of DFT.

Properties
E: -10.655 eV for the cell shown
V: 28.5 Å³/atom
SG: No. 225
Formation energy: 1.798 eV per atom
Energy above the most stable polymorph in this dataset: 5.58 eV/f.u.
DOS(E_F): 2.071 states/eV/atom
Total magnetic moment: 0.00 μB/f.u.

Lattice parameters (Å, degrees): 5.440 5.440 5.440 60.00 60.00 60.00
Fractional positions:
K 0.250 0.250 0.250
K 0.750 0.750 0.750
Zr 0.000 0.000 0.000
Co 0.500 0.500 0.500